No. 1
Ce2Pr3Dy6Th | PBE | relaxed

Calculated values
Energy of formation from the pure elements in eV per formula unit: 0.474
E in eV/f.u.: -60.76
Magnetic moment in μB per atom: 0.110
ρ in g cm⁻³: 8.22
V in Å³/atom: 32.15

a b c (Å): 6.202 10.744 11.763
angles (deg): 90.00 100.14 90.00
Space group C2/m (No. 12)
Symmetry-distinct sites (fractional):
1 Ce 0.000 0.167 0.000 [4 per cell]
2 Pr 0.000 0.000 0.500 [2 per cell]
3 Pr 0.000 0.333 0.500 [4 per cell]
4 Dy 0.247 0.334 0.243 [8 per cell]
5 Dy 0.249 0.000 0.243 [4 per cell]
6 Th 0.000 0.500 0.000 [2 per cell]



No. 2
CePr2DyTl4 | PBE | relaxed

Calculated values
Energy of formation from the pure elements in eV per formula unit: -2.576
E in eV/f.u.: -32.14
Magnetic moment in μB per atom: 0.141
ρ in g cm⁻³: 9.83
V in Å³/atom: 29.60

a b c (Å): 5.5025 5.5025 27.0974
angles (deg): 90.00 90.00 120.00
Space group R-3m (No. 166, hexagonal axes)
Symmetry-distinct sites (fractional):
1 Ce 0.0000 0.0000 0.0000 [3 per cell]
2 Pr 0.0000 0.0000 0.2489 [6 per cell]
3 Dy 0.0000 0.0000 0.5000 [3 per cell]
4 Tl 0.0000 0.0000 0.1259 [6 per cell]
5 Tl 0.0000 0.0000 0.3760 [6 per cell]



No. 3
Ce2PrDyTl4 | PBE | relaxed

Calculated values
Energy of formation from the pure elements in eV per formula unit: -2.260
E in eV/f.u.: -32.97
Magnetic moment in μB per atom: 0.271
ρ in g cm⁻³: 9.91
V in Å³/atom: 29.34

a b c (Å): 5.4903 5.4903 26.9790
angles (deg): 90.00 90.00 120.00
Space group R-3m (No. 166, hexagonal axes)
Symmetry-distinct sites (fractional):
1 Ce 0.0000 0.0000 0.2493 [6 per cell]
2 Pr 0.0000 0.0000 0.0000 [3 per cell]
3 Dy 0.0000 0.0000 0.5000 [3 per cell]
4 Tl 0.0000 0.0000 0.1264 [6 per cell]
5 Tl 0.0000 0.0000 0.3766 [6 per cell]



No. 4
CePrDy3Tm | PBE | relaxed

Calculated values
Energy of formation from the pure elements in eV per formula unit: 0.906
E in eV/f.u.: -28.08
Magnetic moment in μB per atom: 0.210
ρ in g cm⁻³: 8.06
V in Å³/atom: 32.21

a b c (Å): 5.867 11.240 11.721
angles (deg): 90.00 90.00 90.00
Space group Cmcm (No. 63)
Symmetry-distinct sites (fractional):
1 Ce 0.000 0.003 0.250 [4 per cell]
2 Pr 0.000 0.500 0.000 [4 per cell]
3 Dy 0.000 0.171 0.503 [8 per cell]
4 Dy 0.000 0.325 0.250 [4 per cell]
5 Tm 0.000 0.329 0.750 [4 per cell]



No. 5
Ce2PrDy6Tm3 | PBE | relaxed

Calculated values
Energy of formation from the pure elements in eV per formula unit: 0.648
E in eV/f.u.: -57.03
Magnetic moment in μB per atom: 0.153
ρ in g cm⁻³: 8.42
V in Å³/atom: 31.27

a b c (Å): 6.126 10.611 11.726
angles (deg): 90.00 100.03 90.00
Space group C2/m (No. 12)
Symmetry-distinct sites (fractional):
1 Ce 0.000 0.167 0.000 [4 per cell]
2 Pr 0.000 0.500 0.000 [2 per cell]
3 Dy 0.247 0.168 0.748 [8 per cell]
4 Dy 0.248 0.000 0.252 [4 per cell]
5 Tm 0.000 0.000 0.500 [2 per cell]
6 Tm 0.000 0.334 0.500 [4 per cell]



No. 6
CePr6DyTm2 | PBE | relaxed

Calculated values
Energy of formation from the pure elements in eV per formula unit: 2.327
E in eV/f.u.: -45.83
Magnetic moment in μB per atom: 0.121
ρ in g cm⁻³: 7.09
V in Å³/atom: 34.79

a b c (Å): 11.248 7.150 8.870
angles (deg): 90.00 102.73 90.00
Space group C2/m (No. 12)
Symmetry-distinct sites (fractional):
1 Ce 0.000 0.000 0.000 [2 per cell]
2 Pr 0.131 0.000 0.422 [4 per cell]
3 Pr 0.170 0.268 0.797 [8 per cell]
4 Dy 0.000 0.500 0.500 [2 per cell]
5 Tm 0.093 0.500 0.161 [4 per cell]



No. 7
CePr2DyTm | PBE | relaxed

Calculated values
Energy of formation from the pure elements in eV per formula unit: 1.395
E in eV/f.u.: -23.17
Magnetic moment in μB per atom: 0.102
ρ in g cm⁻³: 7.42
V in Å³/atom: 33.71

a b c (Å): 6.099 6.778 8.155
angles (deg): 90.00 90.00 90.00
Space group Pmma (No. 51)
Symmetry-distinct sites (fractional):
1 Ce 0.000 0.000 0.000 [2 per cell]
2 Pr 0.250 0.266 0.310 [4 per cell]
3 Dy 0.250 0.000 0.645 [2 per cell]
4 Tm 0.250 0.500 0.878 [2 per cell]



No. 8
CePr6Dy2Tm | PBE | relaxed

Calculated values
Energy of formation from the pure elements in eV per formula unit: 2.310
E in eV/f.u.: -45.98
Magnetic moment in μB per atom: 0.112
ρ in g cm⁻³: 7.03
V in Å³/atom: 34.95

a b c (Å): 11.322 7.147 8.884
angles (deg): 90.00 103.51 90.00
Space group C2/m (No. 12)
Symmetry-distinct sites (fractional):
1 Ce 0.000 0.000 0.000 [2 per cell]
2 Pr 0.127 0.000 0.418 [4 per cell]
3 Pr 0.171 0.268 0.795 [8 per cell]
4 Dy 0.092 0.500 0.165 [4 per cell]
5 Tm 0.000 0.500 0.500 [2 per cell]



No. 9
Ce2Pr3Dy6Tm | PBE | relaxed

Calculated values
Energy of formation from the pure elements in eV per formula unit: 0.550
E in eV/f.u.: -57.74
Magnetic moment in μB per atom: 0.164
ρ in g cm⁻³: 7.93
V in Å³/atom: 32.21

a b c (Å): 6.199 10.734 11.801
angles (deg): 90.00 100.07 90.00
Space group C2/m (No. 12)
Symmetry-distinct sites (fractional):
1 Ce 0.000 0.166 0.000 [4 per cell]
2 Pr 0.000 0.000 0.500 [2 per cell]
3 Pr 0.000 0.334 0.500 [4 per cell]
4 Dy 0.246 0.000 0.244 [4 per cell]
5 Dy 0.249 0.332 0.244 [8 per cell]
6 Tm 0.000 0.500 0.000 [2 per cell]



No. 10
Ce2PrDy3Tm6 | PBE | relaxed

Calculated values
Energy of formation from the pure elements in eV per formula unit: 0.619
E in eV/f.u.: -56.66
Magnetic moment in μB per atom: 0.149
ρ in g cm⁻³: 8.64
V in Å³/atom: 30.80

a b c (Å): 6.106 10.573 11.629
angles (deg): 90.00 100.07 90.00
Space group C2/m (No. 12)
Symmetry-distinct sites (fractional):
1 Ce 0.000 0.167 0.000 [4 per cell]
2 Pr 0.000 0.500 0.000 [2 per cell]
3 Dy 0.000 0.000 0.500 [2 per cell]
4 Dy 0.000 0.334 0.500 [4 per cell]
5 Tm 0.248 0.000 0.250 [4 per cell]
6 Tm 0.248 0.168 0.749 [8 per cell]



No. 11
CePrDyY2 | PBE | relaxed

Calculated values
Energy of formation from the pure elements in eV per formula unit: 1.411
E in eV/f.u.: -26.83
Magnetic moment in μB per atom: 0.308
ρ in g cm⁻³: 6.15
V in Å³/atom: 33.54

a b c (Å): 5.868 7.678 7.446
angles (deg): 90.00 90.00 90.00
Space group Pmma (No. 51)
Symmetry-distinct sites (fractional):
1 Ce 0.000 0.000 0.000 [2 per cell]
2 Pr 0.250 0.500 0.159 [2 per cell]
3 Dy 0.250 0.000 0.377 [2 per cell]
4 Y 0.250 0.286 0.671 [4 per cell]



No. 12
CePr6Dy2Y | PBE | relaxed

Calculated values
Energy of formation from the pure elements in eV per formula unit: 2.320
E in eV/f.u.: -47.96
Magnetic moment in μB per atom: 0.116
ρ in g cm⁻³: 6.60
V in Å³/atom: 35.18

a b c (Å): 11.290 7.153 8.935
angles (deg): 90.00 102.81 90.00
Space group C2/m (No. 12)
Symmetry-distinct sites (fractional):
1 Ce 0.000 0.000 0.000 [2 per cell]
2 Pr 0.126 0.000 0.418 [4 per cell]
3 Pr 0.172 0.267 0.797 [8 per cell]
4 Dy 0.092 0.500 0.161 [4 per cell]
5 Y 0.000 0.500 0.500 [2 per cell]



No. 13
Ce2PrDy6Y3 | PBE | relaxed

Calculated values
Energy of formation from the pure elements in eV per formula unit: 0.630
E in eV/f.u.: -63.02
Magnetic moment in μB per atom: 0.151
ρ in g cm⁻³: 7.21
V in Å³/atom: 31.89

a b c (Å): 6.168 10.684 11.797
angles (deg): 90.00 100.04 90.00
Space group C2/m (No. 12)
Symmetry-distinct sites (fractional):
1 Ce 0.000 0.167 0.000 [4 per cell]
2 Pr 0.000 0.500 0.000 [2 per cell]
3 Dy 0.247 0.000 0.250 [4 per cell]
4 Dy 0.248 0.168 0.750 [8 per cell]
5 Y 0.000 0.000 0.500 [2 per cell]
6 Y 0.000 0.334 0.500 [4 per cell]



No. 14
CePr3Dy6Y2 | PBE | relaxed

Calculated values
Energy of formation from the pure elements in eV per formula unit: 0.443
E in eV/f.u.: -60.37
Magnetic moment in μB per atom: 0.099
ρ in g cm⁻³: 7.25
V in Å³/atom: 32.74

a b c (Å): 6.231 10.790 11.870
angles (deg): 90.00 100.06 90.00
Space group C2/m (No. 12)
Symmetry-distinct sites (fractional):
1 Ce 0.000 0.000 0.000 [2 per cell]
2 Pr 0.000 0.168 0.500 [4 per cell]
3 Pr 0.000 0.500 0.500 [2 per cell]
4 Dy 0.247 0.165 0.246 [8 per cell]
5 Dy 0.249 0.000 0.753 [4 per cell]
6 Y 0.000 0.333 0.000 [4 per cell]



No. 15
CePrDyY3 | PBE | relaxed

Calculated values
Energy of formation from the pure elements in eV per formula unit: 0.371
E in eV/f.u.: -34.34
Magnetic moment in μB per atom: 0.166
ρ in g cm⁻³: 6.02
V in Å³/atom: 32.66

a b c (Å): 5.088 15.164 10.158
angles (deg): 90.00 90.00 90.00
Space group Cmcm (No. 63)
Symmetry-distinct sites (fractional):
1 Ce 0.000 0.001 0.250 [4 per cell]
2 Pr 0.000 0.500 0.000 [4 per cell]
3 Dy 0.000 0.333 0.750 [4 per cell]
4 Y 0.000 0.166 0.000 [8 per cell]
5 Y 0.000 0.333 0.250 [4 per cell]



No. 16
CePr6DyY2 | PBE | relaxed

Calculated values
Energy of formation from the pure elements in eV per formula unit: 2.312
E in eV/f.u.: -49.83
Magnetic moment in μB per atom: 0.122
ρ in g cm⁻³: 6.24
V in Å³/atom: 35.28

a b c (Å): 11.364 7.153 8.921
angles (deg): 90.00 103.37 90.00
Space group C2/m (No. 12)
Symmetry-distinct sites (fractional):
1 Ce 0.000 0.000 0.000 [2 per cell]
2 Pr 0.128 0.000 0.419 [4 per cell]
3 Pr 0.170 0.267 0.796 [8 per cell]
4 Dy 0.000 0.500 0.500 [2 per cell]
5 Y 0.094 0.500 0.163 [4 per cell]



No. 17
Ce2Pr3DyY6 | PBE | relaxed

Calculated values
Energy of formation from the pure elements in eV per formula unit: 0.546
E in eV/f.u.: -69.05
Magnetic moment in μB per atom: 0.168
ρ in g cm⁻³: 5.90
V in Å³/atom: 32.83

a b c (Å): 6.243 10.811 11.858
angles (deg): 90.00 100.09 90.00
Space group C2/m (No. 12)
Symmetry-distinct sites (fractional):
1 Ce 0.000 0.166 0.000 [4 per cell]
2 Pr 0.000 0.000 0.500 [2 per cell]
3 Pr 0.000 0.334 0.500 [4 per cell]
4 Dy 0.000 0.500 0.000 [2 per cell]
5 Y 0.246 0.000 0.245 [4 per cell]
6 Y 0.249 0.332 0.245 [8 per cell]



No. 18
Ce2PrDy3Y6 | PBE | relaxed

Calculated values
Energy of formation from the pure elements in eV per formula unit: 0.645
E in eV/f.u.: -68.59
Magnetic moment in μB per atom: 0.157
ρ in g cm⁻³: 6.22
V in Å³/atom: 32.10

a b c (Å): 6.185 10.712 11.808
angles (deg): 90.00 100.05 90.00
Space group C2/m (No. 12)
Symmetry-distinct sites (fractional):
1 Ce 0.000 0.167 0.000 [4 per cell]
2 Pr 0.000 0.500 0.000 [2 per cell]
3 Dy 0.000 0.000 0.500 [2 per cell]
4 Dy 0.000 0.334 0.500 [4 per cell]
5 Y 0.248 0.000 0.251 [4 per cell]
6 Y 0.248 0.168 0.749 [8 per cell]



No. 19
Ce3DyPt4 | PBE | relaxed

Calculated values
Energy of formation from the pure elements in eV per formula unit: -8.661
E in eV/f.u.: -55.23
Magnetic moment in μB per atom: 0.164
ρ in g cm⁻³: 11.47
V in Å³/atom: 24.67

a b c (Å): 7.133 8.235 7.128
angles (deg): 90.00 109.48 90.00
Space group P2/c (No. 13)
Symmetry-distinct sites (fractional):
1 Ce 0.000 0.124 0.250 [2 per cell]
2 Ce 0.000 0.373 0.750 [2 per cell]
3 Ce 0.500 0.373 0.250 [2 per cell]
4 Dy 0.500 0.126 0.750 [2 per cell]
5 Pt 0.249 0.376 0.499 [4 per cell]
6 Pt 0.250 0.124 0.000 [4 per cell]



No. 20
Ce2DyPt3 | PBE | relaxed

Calculated values
Energy of formation from the pure elements in eV per formula unit: -6.540
E in eV/f.u.: -41.13
Magnetic moment in μB per atom: 0.145
ρ in g cm⁻³: 11.58
V in Å³/atom: 24.57

a b c (Å): 13.001 5.810 8.229
angles (deg): 90.00 108.43 90.00
Space group C2/c (No. 15)
Symmetry-distinct sites (fractional):
1 Ce 0.167 0.001 0.083 [8 per cell]
2 Dy 0.000 0.499 0.250 [4 per cell]
3 Pt 0.000 0.001 0.750 [4 per cell]
4 Pt 0.167 0.499 0.583 [8 per cell]